# Ti7TeH2Pb2

A geometry-optimized Ti7TeH2Pb2 structure (PBE, the Alexandria database).

Output
- Calculated density: 7.59 g/cm³
- E: -6.292 eV per atom

Cell and atoms, written as CIF:
```
data_Ti7TeH2Pb2
_chemical_formula_sum 'Ti14 Te2 H4 Pb4'
_symmetry_space_group_name_H-M 'C 1 2/m 1'
_symmetry_Int_Tables_number 12
_cell_length_a 5.8220
_cell_length_b 5.8175
_cell_length_c 11.6404
_cell_angle_alpha 90.00
_cell_angle_beta 102.69
_cell_angle_gamma 90.00
loop_
_symmetry_equiv_pos_as_xyz
'x,y,z'
'-x,-y,-z'
'-x,y,-z'
'x,-y,z'
'x+1/2,y+1/2,z'
'-x+1/2,-y+1/2,-z'
'-x+1/2,y+1/2,-z'
'x+1/2,-y+1/2,z'
loop_
_atom_site_label
_atom_site_type_symbol
_atom_site_fract_x
_atom_site_fract_y
_atom_site_fract_z
Ti1 Ti 0.0000 0.0000 0.0000
Ti2 Ti 0.1591 0.0000 0.3817
Ti3 Ti 0.1711 0.2491 0.8197
Te1 Te 0.0000 0.5000 0.0000
H1 H 0.0817 0.0000 0.1870
Pb1 Pb 0.1580 0.5000 0.3683
```



# La5PmPd2

A geometry-optimized La5PmPd2 structure (PBE, the Alexandria database).

Output
- Calculated density: 7.04 g/cm³
- E: -5.305 eV per atom

Cell and atoms, written as CIF:
```
data_La5PmPd2
_chemical_formula_sum 'La20 Pm4 Pd8'
_symmetry_space_group_name_H-M 'C m c m'
_symmetry_Int_Tables_number 63
_symmetry_space_group_name_Hall '-C 2c 2'
_cell_length_a 4.0338
_cell_length_b 12.8291
_cell_length_c 19.1831
_cell_angle_alpha 90.00
_cell_angle_beta 90.00
_cell_angle_gamma 90.00
loop_
_atom_site_label
_atom_site_type_symbol
_atom_site_fract_x
_atom_site_fract_y
_atom_site_fract_z
La1 La 0.0000 0.0661 0.1172
La2 La 0.0000 0.3568 0.7500
La3 La 0.0000 0.3581 0.0378
Pm1 Pm 0.0000 0.3730 0.2500
Pd1 Pd 0.0000 0.2162 0.6328
```



# Hf2TiMo

A geometry-optimized Hf2TiMo structure (PBE, the Alexandria database).

Output
- Calculated density: 11.03 g/cm³
- E: -9.625 eV per atom
- Energy above the lowest structure with this stoichiometry: 10.7 meV per atom

Cell and atoms, written as CIF:
```
data_Hf2TiMo
_chemical_formula_sum 'Hf2 Ti1 Mo1'
_symmetry_space_group_name_H-M 'P 4/m m m'
_symmetry_Int_Tables_number 123
_symmetry_space_group_name_Hall '-P 4 2'
_cell_length_a 4.7530
_cell_length_b 4.7530
_cell_length_c 3.3366
_cell_angle_alpha 90.00
_cell_angle_beta 90.00
_cell_angle_gamma 90.00
loop_
_atom_site_label
_atom_site_type_symbol
_atom_site_fract_x
_atom_site_fract_y
_atom_site_fract_z
Hf1 Hf 0.0000 0.5000 0.0000
Ti1 Ti 0.0000 0.0000 0.5000
Mo1 Mo 0.5000 0.5000 0.5000
```



> Among the records above, which one has the lowest calculated density?

La5PmPd2